This record from the Open Quantum Materials Database describes HfZrGa2Cu2 after structural relaxation. The functional is PBE-GGA.

Lattice parameters (Å, degrees): 8.443 4.221 12.663 90.00 109.47 90.00
Element x y z (fractional)
Hf  0.938  0.500  0.875
Ga  0.937  0.000  0.375
Cu  0.627  0.500  0.751
Zr  0.187  0.500  0.375
Zr  0.687  0.500  0.375
Ga  0.311  0.500  0.625
Ga  0.814  0.500  0.626
Hf  0.312  0.000  0.125
Cu  0.000  0.000  0.000
Cu  0.374  0.500  0.248
Ga  0.562  0.500  0.125
Ga  0.062  0.500  0.124
Cu  0.123  0.500  0.750
Ga  0.437  0.000  0.374
Cu  0.501  0.000  0.001
Ga  0.186  0.000  0.875
Cu  0.874  0.500  0.248
Cu  0.249  0.000  0.501
Zr  0.437  0.500  0.875
Cu  0.752  0.000  0.501
Hf  0.813  0.000  0.125
Zr  0.562  0.000  0.625
Ga  0.689  0.000  0.876
Hf  0.063  0.000  0.625

space-group type	Pm (6)
excess energy over the best structure of this formula in the dataset	100	meV/atom